1.
First-principles (PBE-GGA) data for an optimized crystal structure of CePu4Sn2, as listed in Alexandria via LeMat-Bulk.

Results
Theoretical density = 12.87 g cm⁻³

abc: 6.043 10.366 11.151
angles: 90.00 90.00 90.00
Space group Fmmm (No. 69)
Asymmetric unit:
1 Ce 0.000 0.000 0.000 x4
2 Pu 0.250 0.250 0.000 x8
3 Pu 0.250 0.250 0.250 x8
4 Sn 0.000 0.000 0.361 x8

***

2.
First-principles (PBE-GGA) data for an optimized crystal structure of Ce6PuSn3, as listed in Alexandria via LeMat-Bulk.

Results
E above lowest polymorph = 188 meV per atom
Theoretical density = 7.44 g cm⁻³

abc: 8.582 11.221 13.362
angles: 90.00 90.00 90.00
Space group Fmmm (No. 69)
Asymmetric unit:
1 Ce 0.000 0.220 0.000 x8
2 Ce 0.203 0.000 0.129 x16
3 Pu 0.000 0.000 0.000 x4
4 Sn 0.000 0.000 0.500 x4
5 Sn 0.250 0.250 0.250 x8

***

3.
First-principles (PBE-GGA) data for an optimized crystal structure of Ce8Pu3Sn2, as listed in Alexandria via LeMat-Bulk.

Results
Theoretical density = 9.49 g cm⁻³

abc: 17.880 6.896 5.969
angles: 90.00 96.13 90.00
Space group C2/m (No. 12)
Asymmetric unit:
1 Ce 0.099 0.000 0.018 x4
2 Ce 0.102 0.254 0.539 x8
3 Ce 0.195 0.500 0.113 x4
4 Pu 0.000 0.000 0.500 x2
5 Pu 0.000 0.295 0.000 x4
6 Sn 0.242 0.000 0.362 x4

***

4.
First-principles (PBE-GGA) data for an optimized crystal structure of Ce4PuSn, as listed in Alexandria via LeMat-Bulk.

Results
E above lowest polymorph = 0 meV per atom
Theoretical density = 9.57 g cm⁻³

abc: 16.066 6.087 6.965
angles: 90.00 109.76 90.00
Space group C2/c (No. 15)
Asymmetric unit:
1 Ce 0.105 0.100 0.459 x8
2 Ce 0.192 0.422 0.148 x8
3 Pu 0.250 0.250 0.500 x4
4 Sn 0.000 0.377 0.750 x4

***

5.
First-principles (PBE-GGA) data for an optimized crystal structure of CePu6Sn5, as listed in Alexandria via LeMat-Bulk.

Results
Theoretical density = 11.56 g cm⁻³

abc: 17.103 4.782 9.076
angles: 90.00 121.74 90.00
Space group C2/m (No. 12)
Asymmetric unit:
1 Ce 0.000 0.000 0.000 x2
2 Pu 0.002 0.500 0.754 x4
3 Pu 0.173 0.000 0.423 x4
4 Pu 0.173 0.000 0.923 x4
5 Sn 0.000 0.000 0.500 x2
6 Sn 0.160 0.500 0.162 x4
7 Sn 0.162 0.500 0.661 x4

***

6.
First-principles (PBE-GGA) data for an optimized crystal structure of CePu3Sn4, as listed in Alexandria via LeMat-Bulk.

Results
Theoretical density = 10.42 g cm⁻³

abc: 3.120 5.864 11.726
angles: 90.00 90.00 90.00
Space group Pmmm (No. 47)
Asymmetric unit:
1 Ce 0.000 0.000 0.000 x1
2 Pu 0.000 0.000 0.500 x1
3 Pu 0.000 0.500 0.250 x2
4 Sn 0.500 0.000 0.251 x2
5 Sn 0.500 0.500 0.000 x1
6 Sn 0.500 0.500 0.500 x1

***

| no. | energy of formation from the pure elements (eV per formula unit) | uncorrected energy (eV/cell) |
| --- | --- | --- |
| 1 | -0.8 | -288.08 |
| 2 | -2.2 | -256.50 |
| 3 | -1.1 | -199.21 |
| 4 | -1.4 | -173.76 |
| 5 | -3.7 | -231.26 |
| 6 | -3.1 | -68.08 |